[1]
## SiNi4H (PBE)

Data for an optimized crystal structure of SiNi4H.

```
12
Lattice="3.241 -4.187 0.000 3.241 4.187 0.000 -1.220 0.000 4.208" Properties=species:S:1:pos:R:3 pbc="T T T"
Si 2.326 3.104 3.156
Si 2.936 -3.104 1.052
Ni 0.188 0.922 3.679
Ni 2.023 1.211 1.914
Ni 0.798 -0.922 1.575
Ni 3.850 1.211 0.190
Ni 1.413 -1.211 4.018
Ni 4.464 0.922 2.633
Ni 3.240 -1.211 2.294
Ni 5.074 -0.922 0.529
H 2.326 0.030 3.156
H 2.936 -0.030 1.052
```

Summary:
- symmetry = C2/c (15)
- M_tot (μB per formula unit) = 0.00
- E above lowest polymorph (kJ/mol of atoms) = 0.0
- volume (Å³/cell) = 114
- mass density (g cm⁻³) = 7.7
- raw total energy (eV per atom) = -5.56

=====

[2]
## SiNiH3 (PBE)

Data for an optimized crystal structure of SiNiH3.

```
5
Lattice="3.373 0.000 0.000 0.000 3.373 0.000 0.000 0.000 3.373" Properties=species:S:1:pos:R:3 pbc="T T T"
Si 0.000 0.000 0.000
Ni 1.686 1.686 1.686
H 0.000 1.686 1.686
H 1.686 0.000 1.686
H 1.686 1.686 0.000
```

Summary:
- symmetry = Pm-3m (221)
- M_tot (μB per formula unit) = 0.00
- E above lowest polymorph (kJ/mol of atoms) = 0.0
- volume (Å³/cell) = 38
- mass density (g cm⁻³) = 3.9
- raw total energy (eV per atom) = -3.85